A relaxed structure of Tl2FeOsO6, computed with PBE+U.

Output
space-group type	P-3m1
DOS(E_F)	2.59	states/eV per cell
raw total energy	-5.868	eV/atom
volume	16.10	Å³/atom

Unit cell a=5.037 b=6.076 c=6.076 alpha=120.00 beta=90.00 gamma=90.00
Each line ends with the local moment (μB).
Sites, in units of the cell vectors:
Tl 0.292 0.333 0.667  0.00
Tl 0.708 0.667 0.333  0.00
Fe 0.500 0.000 0.000  1.16
Os 0.000 0.000 0.000  -0.68
O 0.757 0.141 0.281  -0.06
O 0.757 0.141 0.859  -0.06
O 0.757 0.719 0.859  -0.06
O 0.243 0.859 0.141  -0.06
O 0.243 0.281 0.141  -0.06
O 0.243 0.859 0.719  -0.06